Below is crystalline SrMnZn at its relaxed geometry, with properties calculated at the PBE-GGA level.

Properties
As for the crystal system: cubic. Its total energy is -38.0 eV for the cell shown.

Cell lengths 7.2379, 7.2379, 7.2379 Å; angles 90.00, 90.00, 90.00 degrees
Closest atoms and distances in Å follow each position.
Fractional coordinates of all 12 atoms:
Sr1 0.0000 0.0000 0.0000  4 Mn 3.13, 4 Zn 3.13
Sr2 0.0000 0.5000 0.5000  4 Mn 3.13, 4 Zn 3.13
Sr3 0.5000 0.0000 0.5000  4 Mn 3.13, 4 Zn 3.13
Sr4 0.5000 0.5000 0.0000  4 Mn 3.13, 4 Zn 3.13
Mn1 0.2500 0.2500 0.2500  4 Sr 3.13
Mn2 0.2500 0.7500 0.7500  4 Sr 3.13
Mn3 0.7500 0.2500 0.7500  4 Sr 3.13
Mn4 0.7500 0.7500 0.2500  4 Sr 3.13
Zn1 0.2500 0.2500 0.7500  4 Sr 3.13
Zn2 0.2500 0.7500 0.2500  4 Sr 3.13
Zn3 0.7500 0.2500 0.2500  4 Sr 3.13
Zn4 0.7500 0.7500 0.7500  4 Sr 3.13

Below is crystalline MnAs2Pt at its relaxed geometry, with properties calculated at the PBE-GGA level.

Properties
The energy above the most stable polymorph in this dataset comes out at 13 meV/atom. As for the crystal system: monoclinic. Its total energy is -50.1 eV for the cell shown.

Cell lengths 8.4956, 3.5173, 4.5872 Å; angles 90.00, 105.75, 90.00 degrees
Closest atoms and distances in Å follow each position.
Fractional coordinates of all 8 atoms:
Mn1 0.0000 0.0000 0.0000  3 As 2.42-2.57
Mn2 0.5000 0.5000 0.0000  3 As 2.42-2.57
As1 0.0133 0.5000 0.5337  3 Pt 2.57-2.63, 2 Mn 2.80
As2 0.2714 0.0000 0.9257  3 Mn 2.42-2.57, 2 Pt 2.64
As3 0.5133 0.0000 0.5337  3 Pt 2.57-2.63, 2 Mn 2.80
As4 0.7714 0.5000 0.9257  3 Mn 2.42-2.57, 2 Pt 2.64
Pt1 0.2757 0.5000 0.3566  5 As 2.57-2.64, 1 Mn 2.83
Pt2 0.7757 0.0000 0.3566  5 As 2.57-2.64, 1 Mn 2.83

Below is crystalline Li2Ga2Cu7 at its relaxed geometry, with properties calculated at the PBE-GGA level.

Properties
The energy above the most stable polymorph in this dataset comes out at 0 meV/atom. As for the crystal system: monoclinic. Its total energy is -39.0 eV for the cell shown.

Cell lengths 6.0008, 6.0008, 4.4743 Å; angles 106.73, 106.73, 92.31 degrees
Closest atoms and distances in Å follow each position.
Fractional coordinates of all 11 atoms:
Li1 0.2312 0.2312 0.0755  8 Cu 2.49-2.75, 2 Ga 2.78
Li2 0.7688 0.7688 0.9245  8 Cu 2.49-2.75, 2 Ga 2.78
Ga1 0.2433 0.7567 0.0000  8 Cu 2.44-2.71
Ga2 0.7567 0.2433 0.0000  8 Cu 2.44-2.71
Cu1 0.0000 0.0000 0.5000  4 Cu 2.43, 2 Li 2.49
Cu2 0.0697 0.5936 0.3347  4 Cu 2.40-2.67, 2 Ga 2.44-2.54, 2 Li 2.53-2.66
Cu3 0.4062 0.4062 0.6815  3 Li 2.49-2.75, 2 Ga 2.58, 4 Cu 2.62-2.68
Cu4 0.4064 0.9303 0.6653  4 Cu 2.40-2.67, 2 Ga 2.44-2.54, 2 Li 2.53-2.66
Cu5 0.5936 0.0697 0.3347  4 Cu 2.40-2.67, 2 Ga 2.44-2.54, 2 Li 2.53-2.66
Cu6 0.5938 0.5938 0.3185  3 Li 2.49-2.75, 2 Ga 2.58, 4 Cu 2.62-2.68
Cu7 0.9303 0.4064 0.6653  4 Cu 2.40-2.67, 2 Ga 2.44-2.54, 2 Li 2.53-2.66

The following M_tot values (in μB per formula unit) correspond, in order, to the records above: 3.76, 3.11, 0.00.
The following ΔH_f (0 K) values (in kcal/mol of atoms) correspond, in order, to the records above: 20.25, -3.05, -1.03.